Na3AgI4: optimized geometry, GGA-PBE.

a b c (Å): 8.594 8.594 8.594
angles (deg): 131.82 131.82 70.52
Element x y z (fractional)
Na 0.000 0.000 0.000
Na 0.250 0.750 0.500
Na 0.750 0.250 0.500
Ag 0.500 0.500 0.000
I 0.144 0.144 0.526
I 0.382 0.856 0.000
I 0.618 0.618 0.474
I 0.856 0.382 0.000

## Properties
Size of the total moment, μB per formula unit: 0.0
Formation energy without anion corrections, eV/atom: -0.968

***

TmLuSnIr: optimized geometry, GGA-PBE.

a b c (Å): 5.000 5.000 5.000
angles (deg): 60.00 60.00 60.00
Element x y z (fractional)
Tm 0.000 0.000 0.000
Lu 0.500 0.500 0.500
Sn 0.750 0.750 0.750
Ir 0.250 0.250 0.250

## Properties
Size of the total moment, μB per formula unit: 0.0
Formation energy from the elements, eV/f.u.: -2.566

***

Sc2Os: optimized geometry, GGA-PBE.

a b c (Å): 14.271 14.271 14.271
angles (deg): 163.94 163.94 22.78
Element x y z (fractional)
Sc 0.039 0.789 0.250
Sc 0.124 0.374 0.750
Sc 0.211 0.961 0.250
Sc 0.374 0.124 0.250
Sc 0.626 0.876 0.750
Sc 0.789 0.039 0.750
Sc 0.876 0.626 0.250
Sc 0.961 0.211 0.750
Os 0.297 0.547 0.750
Os 0.453 0.703 0.750
Os 0.547 0.297 0.250
Os 0.703 0.453 0.250

## Properties
Size of the total moment, μB per formula unit: 0.0
Formation energy from the elements, eV/f.u.: -0.291

***

Zr2Pd6Au: optimized geometry, GGA-PBE.

a b c (Å): 8.574 8.574 4.101
angles (deg): 90.00 90.00 90.00
Element x y z (fractional)
Zr 0.176 0.176 0.000
Zr 0.324 0.676 0.500
Zr 0.676 0.324 0.500
Zr 0.824 0.824 0.000
Pd 0.002 0.334 0.500
Pd 0.162 0.838 0.000
Pd 0.166 0.502 0.000
Pd 0.334 0.002 0.500
Pd 0.338 0.338 0.500
Pd 0.498 0.834 0.000
Pd 0.502 0.166 0.000
Pd 0.662 0.662 0.500
Pd 0.666 0.998 0.500
Pd 0.834 0.498 0.000
Pd 0.838 0.162 0.000
Pd 0.998 0.666 0.500
Au 0.000 0.000 0.500
Au 0.500 0.500 0.000

## Properties
Size of the total moment, μB per formula unit: 0.0
Formation energy from the elements, eV/f.u.: -5.807

***

TaAgCl: optimized geometry, GGA-PBE.

a b c (Å): 3.062 3.062 7.493
angles (deg): 90.00 90.00 120.00
Element x y z (fractional)
Ta 0.000 0.000 0.000
Ag 0.333 0.667 0.312
Cl 0.667 0.333 0.761

## Properties
Size of the total moment, μB per formula unit: 0.0
Formation energy without anion corrections, eV/atom: -0.134

***

Ac2FeP: optimized geometry, GGA-PBE.

a b c (Å): 5.227 5.227 3.853
angles (deg): 90.00 90.00 90.00
Element x y z (fractional)
Ac 0.000 0.500 0.000
Ac 0.500 0.000 0.000
Fe 0.000 0.000 0.500
P 0.500 0.500 0.500

## Properties
Size of the total moment, μB per formula unit: 1.7
Formation energy from the elements, eV/f.u.: -1.062

***

What did the first record say?
Na3AgI4: optimized geometry, GGA-PBE.

a b c (Å): 8.594 8.594 8.594
angles (deg): 131.82 131.82 70.52
Element x y z (fractional)
Na 0.000 0.000 0.000
Na 0.250 0.750 0.500
Na 0.750 0.250 0.500
Ag 0.500 0.500 0.000
I 0.144 0.144 0.526
I 0.382 0.856 0.000
I 0.618 0.618 0.474
I 0.856 0.382 0.000

## Properties
Size of the total moment, μB per formula unit: 0.0
Formation energy without anion corrections, eV/atom: -0.968